Bi2WBr: optimized geometry, PBE.

The structure belongs to space group I-42d (No. 122); the cell edges are 6.908, 6.908 and 12.972 Å and the angles 90.00°, 90.00° and 90.00°. The asymmetric unit holds Bi at (0.174, 0.250, 0.125), W at (0.000, 0.000, 0.000) and Br at (0.000, 0.000, 0.500).

As for the theoretical density: 7.32 Mg/m³. The calculation puts the size of the total moment at 0.000 μB per formula unit. Its formation energy without anion corrections is 85.9 kJ/mol of atoms. For the uncorrected energy, the calculation gives -0.1730 Ha/atom.

---

Bi2WBr: optimized geometry, PBE.

The structure belongs to space group Fm-3m (No. 225); the cell edges are 7.393, 7.393 and 7.393 Å and the angles 90.00°, 90.00° and 90.00°. The asymmetric unit holds Bi at (0.250, 0.250, 0.250), W at (0.000, 0.000, 0.000) and Br at (0.000, 0.000, 0.500).

As for the theoretical density: 11.20 Mg/m³. The calculation puts the size of the total moment at 2.731 μB per formula unit. Its formation energy without anion corrections is 99.0 kJ/mol of atoms. For the uncorrected energy, the calculation gives -0.1680 Ha/atom.

---

Bi3WBr: optimized geometry, PBE.

The structure belongs to space group Pm-3m (No. 221); the cell edges are 5.412, 5.412 and 5.412 Å and the angles 90.00°, 90.00° and 90.00°. The asymmetric unit holds Bi at (0.000, 0.000, 0.500), W at (0.000, 0.000, 0.000) and Br at (0.500, 0.500, 0.500).

As for the theoretical density: 9.33 Mg/m³. The calculation puts the size of the total moment at 0.000 μB per formula unit. Its formation energy without anion corrections is 45.1 kJ/mol of atoms. For the uncorrected energy, the calculation gives -0.1759 Ha/atom.

---

Bi2W2Br: optimized geometry, PBE.

The structure belongs to space group I4/mmm (No. 139); the cell edges are 3.699, 3.699 and 18.791 Å and the angles 90.00°, 90.00° and 90.00°. The asymmetric unit holds Bi at (0.000, 0.000, 0.121), W at (0.000, 0.500, 0.250) and Br at (0.000, 0.000, 0.500).

As for the theoretical density: 11.18 Mg/m³. The calculation puts the size of the total moment at 0.000 μB per formula unit. Its formation energy without anion corrections is 36.5 kJ/mol of atoms. For the uncorrected energy, the calculation gives -0.2459 Ha/atom.

---

Zn2BiWBr: optimized geometry, PBE.

The structure belongs to space group P4/mmm (No. 123); the cell edges are 5.504, 5.504 and 5.686 Å and the angles 90.00°, 90.00° and 90.00°. The asymmetric unit holds Zn at (0.000, 0.500, 0.000), Bi at (0.000, 0.000, 0.000), W at (0.500, 0.500, 0.500) and Br at (0.000, 0.000, 0.500).

As for the theoretical density: 5.82 Mg/m³. The calculation puts the size of the total moment at 5.050 μB per formula unit. Its formation energy without anion corrections is 153.4 kJ/mol of atoms. For the uncorrected energy, the calculation gives -0.0963 Ha/atom.

---

YBiBr2: optimized geometry, PBE.

The structure belongs to space group R-3m (No. 166, hexagonal axes); the cell edges are 3.6793, 3.6793 and 34.4354 Å and the angles 90.00°, 90.00° and 120.00°. The asymmetric unit holds Y at (0.0000, 0.0000, 0.0000), Bi at (0.0000, 0.0000, 0.5000) and Br at (0.0000, 0.0000, 0.3887).

As for the theoretical density: 5.65 Mg/m³. The calculation puts the size of the total moment at 0.000 μB per formula unit. Its formation energy without anion corrections is -92.7 kJ/mol of atoms. For the uncorrected energy, the calculation gives -0.1611 Ha/atom.

---

YBiBr: optimized geometry, PBE.

The structure belongs to space group P-6m2 (No. 187); the cell edges are 5.1408, 5.1408 and 3.7024 Å and the angles 90.00°, 90.00° and 120.00°. The asymmetric unit holds Y at (0.0000, 0.0000, 0.0000), Bi at (0.6667, 0.3333, 0.5000) and Br at (0.3333, 0.6667, 0.0000).

As for the theoretical density: 7.40 Mg/m³. The calculation puts the size of the total moment at 0.000 μB per formula unit. Its formation energy without anion corrections is -80.1 kJ/mol of atoms. For the uncorrected energy, the calculation gives -0.1777 Ha/atom.

---

YBi3Br: optimized geometry, PBE.

The structure belongs to space group Pm-3m (No. 221); the cell edges are 5.621, 5.621 and 5.621 Å and the angles 90.00°, 90.00° and 90.00°. The asymmetric unit holds Y at (0.000, 0.000, 0.000), Bi at (0.000, 0.500, 0.500) and Br at (0.500, 0.500, 0.500).

As for the theoretical density: 7.44 Mg/m³. The calculation puts the size of the total moment at 0.000 μB per formula unit. Its formation energy without anion corrections is 37.3 kJ/mol of atoms. For the uncorrected energy, the calculation gives -0.1312 Ha/atom.

---

Which value of formation energy without anion corrections does entry 7 give?
-80.1 kJ/mol of atoms